1.
Compound: SrHo5Cd6
Source: Alexandria via LeMat-Bulk
Functional: PBE
Structure: optimized geometry

Lattice parameters (Å, degrees): 9.2297 9.2297 9.2297 146.43 131.60 60.19
Fractional positions:
Sr1 0.0000 0.0000 0.0000
Ho1 0.1629 0.6629 0.5000
Ho2 0.3313 0.3313 0.0000
Ho3 0.5000 0.0000 0.5000
Ho4 0.6687 0.6687 0.0000
Ho5 0.8371 0.3371 0.5000
Cd1 0.0884 0.8279 0.2604
Cd2 0.2709 0.5000 0.7709
Cd3 0.4325 0.1721 0.2604
Cd4 0.5675 0.8279 0.7396
Cd5 0.7291 0.5000 0.2291
Cd6 0.9116 0.1721 0.7396

Calculated values
**Formation energy from the elements**: -298 meV per atom
**VASP energy**: -2.8027 eV per atom
**SG**: Immm

2.
Compound: Ho2TaCd
Source: Alexandria via LeMat-Bulk
Functional: PBE
Structure: optimized geometry

Lattice parameters (Å, degrees): 11.7637 11.7637 11.7637 15.35 15.35 15.35
Fractional positions:
Ho1 0.0856 0.0856 0.0856
Ho2 0.9144 0.9144 0.9144
Ta1 0.0000 0.0000 0.0000
Cd1 0.5000 0.5000 0.5000

Calculated values
**Formation energy from the elements**: 516 meV per atom
**VASP energy**: -4.9651 eV per atom
**SG**: R-3m

> Which of these has the lowest VASP energy?

Ho2TaCd

What did the first record say?
Compound: SrHo5Cd6
Source: Alexandria via LeMat-Bulk
Functional: PBE
Structure: optimized geometry

Lattice parameters (Å, degrees): 9.2297 9.2297 9.2297 146.43 131.60 60.19
Fractional positions:
Sr1 0.0000 0.0000 0.0000
Ho1 0.1629 0.6629 0.5000
Ho2 0.3313 0.3313 0.0000
Ho3 0.5000 0.0000 0.5000
Ho4 0.6687 0.6687 0.0000
Ho5 0.8371 0.3371 0.5000
Cd1 0.0884 0.8279 0.2604
Cd2 0.2709 0.5000 0.7709
Cd3 0.4325 0.1721 0.2604
Cd4 0.5675 0.8279 0.7396
Cd5 0.7291 0.5000 0.2291
Cd6 0.9116 0.1721 0.7396

Calculated values
**Formation energy from the elements**: -298 meV per atom
**VASP energy**: -2.8027 eV per atom
**SG**: Immm